Compound: GdDySi2Pt4
Source: the Open Quantum Materials Database
Functional: PBE-GGA
Structure: optimized geometry

a = 7.099 Å, b = 5.466 Å, c = 5.466 Å
α = 41.94°, β = 90.00°, γ = 90.00°
Atoms (fractional coordinates):
Dy: 0.000 0.553 0.553
Gd: 0.500 0.447 0.447
Pt: 0.299 0.144 0.144
Pt: 0.701 0.144 0.144
Pt: 0.199 0.856 0.856
Pt: 0.801 0.856 0.856
Si: 0.000 0.270 0.270
Si: 0.500 0.730 0.730

Properties
E_tot, eV/atom: -6.6914